A plane-wave DFT calculation with PBE was carried out for a relaxed LiTlBr crystal.

Results
Offset from the most stable computed form in meV/atom: 328.1
Energy in eV per cell: -29.245
Raw formation energy in eV per formula unit: -1.36

Unit cell a=7.020 b=7.020 c=7.020 alpha=90.00 beta=90.00 gamma=90.00
Space group F-43m (No. 216)
Asymmetric unit:
Li1 0.000 0.000 0.000 (multiplicity 4)
Tl1 0.250 0.250 0.250 (multiplicity 4)
Br1 0.250 0.250 0.750 (multiplicity 4)



A plane-wave DFT calculation with PBE was carried out for a relaxed LiTlBr2 crystal.

Results
Offset from the most stable computed form in meV/atom: 217.0
Energy in eV per cell: -22.913
Raw formation energy in eV per formula unit: -3.83

Unit cell a=7.712 b=7.711 c=3.870 alpha=90.00 beta=90.76 gamma=90.00
Space group C2/m (No. 12)
Asymmetric unit:
Li1 0.000 0.000 0.000 (multiplicity 2)
Tl1 0.000 0.500 0.000 (multiplicity 2)
Br1 0.250 0.250 0.500 (multiplicity 4)



A plane-wave DFT calculation with PBE was carried out for a relaxed LiTlBr crystal.

Results
Offset from the most stable computed form in meV/atom: 18.8
Energy in eV per cell: -8.239
Raw formation energy in eV per formula unit: -2.29

Unit cell a=3.8781 b=3.8781 c=6.4730 alpha=90.00 beta=90.00 gamma=120.00
Space group P3m1 (No. 156)
Asymmetric unit:
Li1 0.0000 0.0000 0.0000 (multiplicity 1)
Tl1 0.6667 0.3333 0.3791 (multiplicity 1)
Br1 0.3333 0.6667 0.8501 (multiplicity 1)